# ScInIBr2

ScInIBr2 after structural relaxation (PBE, Alexandria via LeMat-Bulk).

Properties
Density of states at the Fermi level: 2.37 states/eV per cell
M_tot: 0.9 μB/f.u.
E_tot: -3.75 eV/atom
E_form (uncorrected): -4.76 eV/f.u.

Lattice parameters (Å, degrees): 5.3575 5.3575 5.9427 90.00 90.00 90.00
Space group P4/mmm (No. 123)
Asymmetric unit:
Sc1 0.0000 0.0000 0.0000 [1 per cell]
In1 0.5000 0.5000 0.5000 [1 per cell]
I1 0.0000 0.0000 0.5000 [1 per cell]
Br1 0.0000 0.5000 0.0000 [2 per cell]

***

# Sm5Os2Br2

Sm5Os2Br2 after structural relaxation (PBE, Alexandria via LeMat-Bulk).

Properties
Density of states at the Fermi level: 27.62 states/eV per cell
M_tot: 0.0 μB/f.u.
E_tot: -6.12 eV/atom
E_form (uncorrected): -5.64 eV/f.u.

Lattice parameters (Å, degrees): 16.1343 7.9656 7.9737 90.00 90.00 90.00
Space group Cmce (No. 64)
Asymmetric unit:
Sm1 0.0000 0.0000 0.0000 [4 per cell]
Sm2 0.1094 0.1548 0.3468 [16 per cell]
Os1 0.0000 0.1412 0.6408 [8 per cell]
Br1 0.2163 0.0000 0.0000 [8 per cell]

***

# KNaBeH2

KNaBeH2 after structural relaxation (PBE, Alexandria via LeMat-Bulk).

Properties
Density of states at the Fermi level: 2.44 states/eV per cell
M_tot: 0.0 μB/f.u.
E_tot: -1.58 eV/atom

Lattice parameters (Å, degrees): 4.8665 4.8665 5.8009 90.00 90.00 90.00
Space group P4/mmm (No. 123)
Asymmetric unit:
K1 0.0000 0.0000 0.0000 [1 per cell]
Na1 0.5000 0.5000 0.5000 [1 per cell]
Be1 0.0000 0.0000 0.5000 [1 per cell]
H1 0.0000 0.5000 0.0000 [2 per cell]

***

# Pm2Tl

Pm2Tl after structural relaxation (PBE, Alexandria via LeMat-Bulk).

Properties
Density of states at the Fermi level: 16.37 states/eV per cell
M_tot: 0.6 μB/f.u.
E_tot: -4.22 eV/atom
Energy of formation: -267 meV per atom
ΔE to the lowest computed polymorph: 7 meV/atom

Lattice parameters (Å, degrees): 5.5539 9.6046 6.8894 90.00 90.00 90.00
Space group Cmcm (No. 63)
Asymmetric unit:
Pm1 0.0000 0.0000 0.0000 [4 per cell]
Pm2 0.0000 0.3335 0.2500 [4 per cell]
Tl1 0.0000 0.3330 0.7500 [4 per cell]

***

# Ce5Dy12Ho3

Ce5Dy12Ho3 after structural relaxation (PBE, Alexandria via LeMat-Bulk).

Properties
Density of states at the Fermi level: 425.91 states/eV per cell
M_tot: 10.0 μB/f.u.
E_tot: -3.89 eV/atom
Energy of formation: 1045 meV per atom

Lattice parameters (Å, degrees): 18.1222 18.1222 18.1222 90.00 90.00 90.00
Space group Ia-3d (No. 230)
Asymmetric unit:
Ce1 0.0000 0.0000 0.0000 [16 per cell]
Ce2 0.0000 0.2500 0.3750 [24 per cell]
Dy1 0.0103 0.0756 0.6482 [96 per cell]
Ho1 0.0000 0.2500 0.1250 [24 per cell]

***

# La2TmPuSb4

La2TmPuSb4 after structural relaxation (PBE, Alexandria via LeMat-Bulk).

Properties
Density of states at the Fermi level: 16.64 states/eV per cell
M_tot: 5.0 μB/f.u.
E_tot: -6.68 eV/atom
E_form (uncorrected): -8.29 eV/f.u.

Lattice parameters (Å, degrees): 7.7862 4.5193 7.7986 90.00 109.53 90.00
Space group P2/m (No. 10)
Asymmetric unit:
La1 0.0000 0.0000 0.0000 [1 per cell]
La2 0.0000 0.5000 0.5000 [1 per cell]
Tm1 0.5000 0.0000 0.5000 [1 per cell]
Pu1 0.5000 0.5000 0.0000 [1 per cell]
Sb1 0.2645 0.0000 0.7528 [2 per cell]
Sb2 0.2655 0.5000 0.2573 [2 per cell]